(1)
Here is ErLuCuAg after structural relaxation from the Alexandria database. Energies are from PBE.

```
ErLuCuAg
1.0
0.0000 3.5080 3.5080
3.5080 0.0000 3.5080
3.5080 3.5080 0.0000
Er Lu Cu Ag
1 1 1 1
direct
0.0000 0.0000 0.0000 Er
0.5000 0.5000 0.5000 Lu
0.2500 0.2500 0.2500 Cu
0.7500 0.7500 0.7500 Ag
```

Electronic total energy in eV per atom: -4.299
Theoretical density in g cm⁻³: 9.879
Energy of formation from the pure elements in eV per atom: -0.2909
Symmetry: F-43m, No. 216

(2)
Here is AcCoAs2 after structural relaxation from the Alexandria database. Energies are from PBE.

```
AcCoAs2
1.0
2.0145 1.1631 5.9403
-2.0145 1.1631 5.9403
0.0000 -2.3261 5.9403
Ac Co As
1 1 2
direct
0.0000 0.0000 0.0000 Ac
0.5000 0.5000 0.5000 Co
0.2181 0.2181 0.2181 As
0.7819 0.7819 0.7819 As
```

Electronic total energy in eV per atom: -5.795
Theoretical density in g cm⁻³: 8.665
Energy of formation from the pure elements in eV per atom: -0.6667
Symmetry: R-3m, No. 166

(3)
Here is ScCu2Ru after structural relaxation from the Alexandria database. Energies are from PBE.

```
ScCu2Ru
1.0
0.0000 3.0792 3.0792
3.0792 0.0000 3.0792
3.0792 3.0792 0.0000
Sc Cu Ru
1 2 1
direct
0.0000 0.0000 0.0000 Sc
0.2500 0.2500 0.2500 Cu
0.7500 0.7500 0.7500 Cu
0.5000 0.5000 0.5000 Ru
```

Electronic total energy in eV per atom: -6.042
Theoretical density in g cm⁻³: 7.767
Energy of formation from the pure elements in eV per atom: -0.0917
Symmetry: Fm-3m, No. 225

(4)
Here is Rb3LiMn2Br9 after structural relaxation from the Alexandria database. Energies are from PBE.

```
Rb3LiMn2Br9
1.0
7.5356 0.0000 0.0000
-3.7678 6.5260 0.0000
0.0000 0.0000 9.2845
Rb Li Mn Br
3 1 2 9
direct
0.0000 0.0000 0.0000 Rb
0.3333 0.6667 0.6605 Rb
0.6667 0.3333 0.3395 Rb
0.0000 0.0000 0.5000 Li
0.3333 0.6667 0.1733 Mn
0.6667 0.3333 0.8267 Mn
0.0000 0.5000 0.0000 Br
0.1698 0.3397 0.3243 Br
0.1698 0.8302 0.3243 Br
0.3397 0.1698 0.6757 Br
0.5000 0.0000 0.0000 Br
0.5000 0.5000 0.0000 Br
0.6603 0.8302 0.3243 Br
0.8302 0.1698 0.6757 Br
0.8302 0.6603 0.6757 Br
```

Electronic total energy in eV per atom: -3.789
Theoretical density in g cm⁻³: 3.973
Symmetry: P-3m1, No. 164

(5)
Here is Cs8Na4Y3HoCl24 after structural relaxation from the Alexandria database. Energies are from PBE.

```
Cs8Na4Y3HoCl24
1.0
7.7087 0.0000 0.0000
0.0000 7.7087 0.0000
0.0000 0.0000 21.8036
Cs Na Y Ho Cl
8 4 3 1 24
direct
0.0000 0.5000 0.1250 Cs
0.0000 0.5000 0.3751 Cs
0.0000 0.5000 0.6249 Cs
0.0000 0.5000 0.8750 Cs
0.5000 0.0000 0.1250 Cs
0.5000 0.0000 0.3751 Cs
0.5000 0.0000 0.6249 Cs
0.5000 0.0000 0.8750 Cs
0.0000 0.0000 0.0000 Na
0.0000 0.0000 0.5000 Na
0.5000 0.5000 0.2502 Na
0.5000 0.5000 0.7498 Na
0.0000 0.0000 0.2500 Y
0.0000 0.0000 0.7500 Y
0.5000 0.5000 0.0000 Y
0.5000 0.5000 0.5000 Ho
0.0000 0.0000 0.1286 Cl
0.0000 0.0000 0.3715 Cl
0.0000 0.0000 0.6285 Cl
0.0000 0.0000 0.8714 Cl
0.2428 0.2428 0.2500 Cl
0.2428 0.2428 0.7500 Cl
0.2428 0.7572 0.2500 Cl
0.2428 0.7572 0.7500 Cl
0.2572 0.2572 0.0000 Cl
0.2572 0.7428 0.0000 Cl
0.2585 0.2585 0.5000 Cl
0.2585 0.7415 0.5000 Cl
0.5000 0.5000 0.1214 Cl
0.5000 0.5000 0.3793 Cl
0.5000 0.5000 0.6207 Cl
0.5000 0.5000 0.8786 Cl
0.7415 0.2585 0.5000 Cl
0.7415 0.7415 0.5000 Cl
0.7428 0.2572 0.0000 Cl
0.7428 0.7428 0.0000 Cl
0.7572 0.2428 0.2500 Cl
0.7572 0.2428 0.7500 Cl
0.7572 0.7572 0.2500 Cl
0.7572 0.7572 0.7500 Cl
```

Electronic total energy in eV per atom: -4.153
Theoretical density in g cm⁻³: 3.124
Symmetry: P4/mmm, No. 123

(6)
Here is Ba2EuSb after structural relaxation from the Alexandria database. Energies are from PBE.

```
Ba2EuSb
1.0
5.4599 0.0000 0.0000
0.0000 5.4599 0.0000
0.0000 0.0000 5.3489
Ba Eu Sb
2 1 1
direct
0.0000 0.5000 0.0000 Ba
0.5000 0.0000 0.0000 Ba
0.0000 0.0000 0.5000 Eu
0.5000 0.5000 0.5000 Sb
```

Electronic total energy in eV per atom: -5.039
Theoretical density in g cm⁻³: 5.711
Symmetry: P4/mmm, No. 123